--- A ---
Density functional theory data (meta-GGA SCAN) for a PBEsol-optimized structure of Sb2PtW.

abc: 3.221 3.221 8.571
angles: 79.17 79.17 60.00
Fractional positions:
Pt  0.000  0.000  0.000
W  0.500  0.500  0.500
Sb  0.250  0.250  0.250
Sb  0.750  0.750  0.750

---

--- B ---
Density functional theory data (meta-GGA SCAN) for a PBEsol-optimized structure of Sb2PtW.

abc: 3.057 3.057 10.434
angles: 81.58 81.58 60.00
Fractional positions:
W  0.509  0.509  0.473
Sb  0.982  0.982  0.053
Pt  0.241  0.241  0.278
Sb  0.768  0.768  0.696

---

Result of the stability comparison: B is the most stable of them.

---

--- A ---
Density functional theory data (meta-GGA SCAN) for a PBEsol-optimized structure of Sc5Pt3.

abc: 5.503 7.946 7.946
angles: 120.00 90.00 90.00
Fractional positions:
Sc  0.250  0.000  0.759
Pt  0.250  0.000  0.398
Sc  0.000  0.333  0.667
Sc  0.750  0.000  0.241
Sc  0.750  0.241  0.000
Sc  0.500  0.333  0.667
Pt  0.250  0.602  0.602
Sc  0.750  0.759  0.759
Sc  0.250  0.759  0.000
Sc  0.250  0.241  0.241
Pt  0.750  0.000  0.602
Pt  0.250  0.398  0.000
Pt  0.750  0.398  0.398
Sc  0.000  0.667  0.333
Pt  0.750  0.602  0.000
Sc  0.500  0.667  0.333

---

--- B ---
Density functional theory data (meta-GGA SCAN) for a PBEsol-optimized structure of Sc5Pt3.

abc: 5.457 7.929 7.929
angles: 83.20 69.87 69.87
Fractional positions:
Sc  0.213  0.869  0.704
Pt  0.840  0.821  0.500
Sc  0.287  0.296  0.131
Sc  0.787  0.131  0.296
Sc  0.713  0.704  0.869
Sc  0.250  0.500  0.500
Sc  0.417  0.869  0.296
Sc  0.583  0.131  0.704
Pt  0.160  0.179  0.500
Pt  0.660  0.500  0.179
Pt  0.750  0.000  0.000
Pt  0.340  0.500  0.821
Pt  0.250  0.000  0.000
Sc  0.083  0.704  0.131
Sc  0.750  0.500  0.500
Sc  0.917  0.296  0.869

---

Result of the stability comparison: A is the most stable of them.

---

--- A ---
Density functional theory data (meta-GGA SCAN) for a PBEsol-optimized structure of SrSc2Pt.

abc: 4.229 4.229 5.789
angles: 111.42 111.42 90.00
Fractional positions:
Sc  0.000  0.000  0.000
Sr  0.500  0.500  0.000
Sc  0.750  0.250  0.500
Pt  0.250  0.750  0.500

---

--- B ---
Density functional theory data (meta-GGA SCAN) for a PBEsol-optimized structure of SrSc2Pt.

abc: 3.385 3.385 8.808
angles: 90.00 90.00 90.00
Fractional positions:
Pt  0.500  0.500  0.000
Sr  0.500  0.500  0.500
Sc  0.000  0.000  0.167
Sc  0.000  0.000  0.833

---

Result of the stability comparison: B is the most stable of them.

---

--- A ---
Density functional theory data (meta-GGA SCAN) for a PBEsol-optimized structure of ScTa2Pt.

abc: 2.844 4.500 5.461
angles: 90.00 90.00 90.00
Fractional positions:
Sc  0.500  0.500  0.500
Ta  0.000  0.000  0.251
Pt  0.500  0.500  0.000
Ta  0.000  0.000  0.749

---

--- B ---
Density functional theory data (meta-GGA SCAN) for a PBEsol-optimized structure of ScTa2Pt.

abc: 4.569 4.569 4.569
angles: 60.00 60.00 60.00
Fractional positions:
Ta  0.750  0.750  0.750
Pt  0.000  0.000  0.000
Ta  0.250  0.250  0.250
Sc  0.500  0.500  0.500

---

Result of the stability comparison: A is the most stable of them.

---

--- A ---
Density functional theory data (meta-GGA SCAN) for a PBEsol-optimized structure of ScTa2Pt.

abc: 4.586 4.586 4.586
angles: 60.00 60.00 60.00
Fractional positions:
Sc  0.750  0.750  0.750
Pt  0.500  0.500  0.500
Ta  0.250  0.250  0.250
Ta  0.000  0.000  0.000

---

--- B ---
Density functional theory data (meta-GGA SCAN) for a PBEsol-optimized structure of ScTa2Pt.

abc: 2.809 5.306 5.306
angles: 118.62 90.00 90.00
Fractional positions:
Sc  0.500  0.500  0.500
Ta  0.000  0.500  0.000
Ta  0.000  0.000  0.500
Pt  0.500  0.000  0.000

---

Result of the stability comparison: A is the most stable of them.

---

--- A ---
Density functional theory data (meta-GGA SCAN) for a PBEsol-optimized structure of Sc2TcPt.

abc: 4.532 4.532 4.532
angles: 60.00 60.00 60.00
Fractional positions:
Pt  0.500  0.500  0.500
Tc  0.000  0.000  0.000
Sc  0.750  0.750  0.750
Sc  0.250  0.250  0.250

---

--- B ---
Density functional theory data (meta-GGA SCAN) for a PBEsol-optimized structure of Sc2TcPt.

abc: 3.519 3.519 5.678
angles: 90.00 90.00 90.00
Fractional positions:
Sc  0.000  0.000  0.958
Tc  0.000  0.000  0.471
Sc  0.500  0.500  0.293
Pt  0.500  0.500  0.778

---

--- C ---
Density functional theory data (meta-GGA SCAN) for a PBEsol-optimized structure of Sc2TcPt.

abc: 3.246 3.246 6.348
angles: 90.00 90.00 90.00
Fractional positions:
Sc  0.000  0.000  0.744
Tc  0.500  0.500  0.500
Pt  0.500  0.500  0.000
Sc  0.000  0.000  0.256

---

Result of the stability comparison: A is the most stable of them.

---

--- A ---
Density functional theory data (meta-GGA SCAN) for a PBEsol-optimized structure of YScPt2.

abc: 3.556 4.391 5.378
angles: 90.00 109.30 90.00
Fractional positions:
Pt  0.790  0.500  0.580
Pt  0.963  0.000  0.927
Y  0.234  0.000  0.468
Sc  0.513  0.500  0.025

---

--- B ---
Density functional theory data (meta-GGA SCAN) for a PBEsol-optimized structure of YScPt2.

abc: 3.792 3.792 5.696
angles: 90.00 90.00 90.00
Fractional positions:
Pt  0.500  0.500  0.320
Y  0.500  0.500  0.813
Pt  0.000  0.000  0.942
Sc  0.000  0.000  0.425

---

--- C ---
Density functional theory data (meta-GGA SCAN) for a PBEsol-optimized structure of YScPt2.

abc: 4.749 4.749 4.749
angles: 60.00 60.00 60.00
Fractional positions:
Sc  0.500  0.500  0.500
Pt  0.750  0.750  0.750
Y  0.000  0.000  0.000
Pt  0.250  0.250  0.250

---

--- D ---
Density functional theory data (meta-GGA SCAN) for a PBEsol-optimized structure of YScPt2.

abc: 4.656 4.656 4.656
angles: 60.00 60.00 60.00
Fractional positions:
Pt  0.000  0.000  0.000
Pt  0.750  0.750  0.750
Y  0.250  0.250  0.250
Sc  0.500  0.500  0.500

---

Result of the stability comparison: A is the most stable of them.

---

--- A ---
Density functional theory data (meta-GGA SCAN) for a PBEsol-optimized structure of ZrSc2Pt.

abc: 4.002 4.002 5.569
angles: 111.05 111.05 90.00
Fractional positions:
Pt  0.250  0.750  0.500
Sc  0.750  0.250  0.500
Zr  0.500  0.500  0.000
Sc  0.000  0.000  0.000

---

--- B ---
Density functional theory data (meta-GGA SCAN) for a PBEsol-optimized structure of ZrSc2Pt.

abc: 4.756 4.756 4.756
angles: 60.00 60.00 60.00
Fractional positions:
Zr  0.500  0.500  0.500
Sc  0.250  0.250  0.250
Pt  0.000  0.000  0.000
Sc  0.750  0.750  0.750

---

Result of the stability comparison: B is the most stable of them.

---

--- A ---
Density functional theory data (meta-GGA SCAN) for a PBEsol-optimized structure of SiPt2Se.

abc: 3.709 3.709 6.624
angles: 73.74 73.74 60.00
Fractional positions:
Pt  0.749  0.749  0.752
Si  0.280  0.280  0.159
Se  0.478  0.478  0.565
Pt  0.992  0.992  0.024

---

--- B ---
Density functional theory data (meta-GGA SCAN) for a PBEsol-optimized structure of SiPt2Se.

abc: 4.432 4.432 4.432
angles: 60.00 60.00 60.00
Fractional positions:
Se  0.000  0.000  0.000
Pt  0.250  0.250  0.250
Pt  0.750  0.750  0.750
Si  0.500  0.500  0.500

---

Result of the stability comparison: A is the most stable of them.

---

--- A ---
Density functional theory data (meta-GGA SCAN) for a PBEsol-optimized structure of TlPtSe2.

abc: 4.741 4.741 4.741
angles: 109.39 109.39 109.63
Fractional positions:
Tl  0.000  0.000  0.000
Se  0.750  0.250  0.500
Se  0.250  0.750  0.500
Pt  0.500  0.500  0.000

---

--- B ---
Density functional theory data (meta-GGA SCAN) for a PBEsol-optimized structure of TlPtSe2.

abc: 4.562 4.562 4.954
angles: 117.41 117.41 90.00
Fractional positions:
Se  0.000  0.000  0.000
Se  0.750  0.250  0.500
Pt  0.250  0.750  0.500
Tl  0.500  0.500  0.000

---

--- C ---
Density functional theory data (meta-GGA SCAN) for a PBEsol-optimized structure of TlPtSe2.

abc: 3.435 3.435 8.372
angles: 90.00 90.00 90.00
Fractional positions:
Se  0.000  0.000  0.860
Pt  0.500  0.500  0.946
Tl  0.000  0.000  0.456
Se  0.500  0.500  0.239

---

--- D ---
Density functional theory data (meta-GGA SCAN) for a PBEsol-optimized structure of TlPtSe2.

abc: 3.611 5.709 5.856
angles: 120.36 90.00 108.44
Fractional positions:
Se  0.677  0.354  0.673
Se  0.323  0.646  0.327
Tl  0.500  0.000  0.000
Pt  0.000  0.000  0.500

---

Result of the stability comparison: D is the most stable of them.

---

--- A ---
Density functional theory data (meta-GGA SCAN) for a PBEsol-optimized structure of PtWSe2.

abc: 3.307 3.307 8.251
angles: 78.44 78.44 60.00
Fractional positions:
Se  0.099  0.099  0.703
W  0.000  0.000  0.000
Se  0.901  0.901  0.297
Pt  0.500  0.500  0.500

---

--- B ---
Density functional theory data (meta-GGA SCAN) for a PBEsol-optimized structure of PtWSe2.

abc: 2.983 5.112 6.467
angles: 108.08 90.00 106.96
Fractional positions:
W  0.488  0.975  0.639
Se  0.824  0.648  0.354
Pt  0.181  0.362  0.556
Se  0.008  0.015  0.951

---

Result of the stability comparison: B is the most stable of them.

---

--- A ---
Density functional theory data (meta-GGA SCAN) for a PBEsol-optimized structure of SiPt5.

abc: 2.830 2.830 10.892
angles: 90.00 90.00 90.00
Fractional positions:
Pt  0.000  0.000  0.500
Pt  0.000  0.000  0.138
Pt  0.500  0.500  0.674
Si  0.500  0.500  0.000
Pt  0.500  0.500  0.326
Pt  0.000  0.000  0.862

---

--- B ---
Density functional theory data (meta-GGA SCAN) for a PBEsol-optimized structure of SiPt5.

abc: 2.795 5.012 7.060
angles: 111.79 90.00 106.19
Fractional positions:
Pt  0.363  0.725  0.148
Pt  0.325  0.650  0.691
Si  0.000  0.000  0.000
Pt  0.000  0.000  0.500
Pt  0.675  0.350  0.309
Pt  0.637  0.275  0.852

---

Result of the stability comparison: B is the most stable of them.